Density functional theory data (PBE with a Hubbard U) for crystalline VInOsO6 at its relaxed geometry.

Cell lengths 5.1341, 5.1341, 9.3553 Å; angles 90.00, 90.00, 120.00 degrees
Closest atoms and distances in Å follow each position.
Fractional coordinates of all 18 atoms:
V 0.3333 0.6667 0.2500  6 O 2.00
V 0.6667 0.3333 0.7500  6 O 2.00
In 0.0000 0.0000 0.0000  6 O 2.22
In 0.0000 0.0000 0.5000  6 O 2.22
Os 0.6667 0.3333 0.2500  6 O 1.96
Os 0.3333 0.6667 0.7500  6 O 1.96
O 0.6489 0.6420 0.1349  1 Os 1.96, 1 V 2.00
O 0.9931 0.3511 0.1349  1 Os 1.96, 1 V 2.00
O 0.3511 0.9931 0.6349  1 Os 1.96, 1 V 2.00
O 0.0069 0.6489 0.8651  1 Os 1.96, 1 V 2.00
O 0.3580 0.3511 0.3651  1 Os 1.96, 1 V 2.00
O 0.9931 0.6420 0.3651  1 Os 1.96, 1 V 2.00
O 0.6420 0.9931 0.8651  1 Os 1.96, 1 V 2.00
O 0.6489 0.0069 0.3651  1 Os 1.96, 1 V 2.00
O 0.0069 0.3580 0.6349  1 Os 1.96, 1 V 2.00
O 0.3580 0.0069 0.1349  1 Os 1.96, 1 V 2.00
O 0.6420 0.6489 0.6349  1 Os 1.96, 1 V 2.00
O 0.3511 0.3580 0.8651  1 Os 1.96, 1 V 2.00

Calculated values
- Fermi-level density of states: 4.5 states/eV/f.u.
- Raw total energy: -7.075 eV per atom
- Space group: P-31c